# LaIn3Re

LaIn3Re after structural relaxation (GGA-PBE, the Alexandria database).

Cell: 5.9090 5.9090 5.9090 Å, 90.00 90.00 90.00°
Closest atoms and distances in Å follow each position.
Element x y z (fractional)
La  0.0000  0.0000  0.0000  6 In 2.95
In  0.0000  0.0000  0.5000  2 La 2.95
In  0.0000  0.5000  0.0000  2 La 2.95
In  0.5000  0.0000  0.0000  2 La 2.95
Re  0.5000  0.5000  0.5000  12 In 4.18

Results
**Magnetization**: 0.197 μB per cell
**Space-group type**: Pm-3m (221)
**Total DFT energy (no corrections)**: -2.902 eV per atom
**Formation enthalpy at 0 K**: 2216 meV per atom